No. 1
This record from Alexandria describes a relaxed TlAuSe6 crystal. The functional is PBE-GGA.

Values from the calculation:
Formation energy from raw total energies ... -0.02 eV/atom
Space group ... P-1
Density ... 5.55 g/cm³
Total magnetization ... 0.0 Bohr magnetons per cell

Unit cell a=6.3624 b=6.5158 c=6.9910 alpha=79.85 beta=66.82 gamma=88.75
Element x y z (fractional)
1 Tl 0.0000 0.0000 0.0000
2 Au 0.0000 0.0000 0.5000
3 Se 0.2196 0.6892 0.5285
4 Se 0.2319 0.6042 0.2080
5 Se 0.4445 0.1666 0.0702
6 Se 0.5555 0.8334 0.9298
7 Se 0.7681 0.3958 0.7920
8 Se 0.7804 0.3108 0.4715

***

No. 2
This record from Alexandria describes a relaxed BaGaSeF2 crystal. The functional is PBE-GGA.

Values from the calculation:
Formation energy from raw total energies ... -1.79 eV/atom
Space group ... P4/mmm
Density ... 3.29 g/cm³
Total magnetization ... 1.0 Bohr magnetons per cell

Unit cell a=4.8954 b=4.8954 c=6.8341 alpha=90.00 beta=90.00 gamma=90.00
Element x y z (fractional)
1 Ba 0.0000 0.0000 0.0000
2 Ga 0.5000 0.5000 0.5000
3 Se 0.0000 0.0000 0.5000
4 F 0.0000 0.5000 0.0000
5 F 0.5000 0.0000 0.0000

***

No. 3
This record from Alexandria describes a relaxed CaCeAgHg crystal. The functional is PBE-GGA.

Values from the calculation:
Space group ... F-43m
Calculated formation energy ... -307 meV per atom
Density ... 7.58 g/cm³
Total magnetization ... 1.2 Bohr magnetons per cell

Unit cell a=5.3291 b=5.3291 c=5.3291 alpha=60.00 beta=60.00 gamma=60.00
Element x y z (fractional)
1 Ca 0.0000 0.0000 0.0000
2 Ce 0.5000 0.5000 0.5000
3 Ag 0.2500 0.2500 0.2500
4 Hg 0.7500 0.7500 0.7500

***

No. 4
This record from Alexandria describes a relaxed Ac4BiPbSe2 crystal. The functional is PBE-GGA.

Values from the calculation:
Formation energy from raw total energies ... -1.32 eV/atom
Space group ... Imma
Density ... 8.44 g/cm³
Total magnetization ... 0.0 Bohr magnetons per cell

Unit cell a=9.3771 b=9.3771 c=9.3771 alpha=120.17 beta=119.84 gamma=89.99
Element x y z (fractional)
1 Ac 0.2546 0.2497 0.4951
2 Ac 0.2546 0.7595 0.0049
3 Ac 0.2570 0.2481 0.0089
4 Ac 0.2608 0.7519 0.5089
5 Ac 0.7392 0.2481 0.4911
6 Ac 0.7430 0.7519 0.9911
7 Ac 0.7454 0.2405 0.9951
8 Ac 0.7454 0.7503 0.5049
9 Bi 0.0000 0.0000 0.5000
10 Bi 0.0000 0.5000 0.0000
11 Pb 0.0000 0.5000 0.5000
12 Pb 0.5000 0.5000 0.0000
13 Se 0.0000 0.0000 0.0000
14 Se 0.5000 0.0000 0.0000
15 Se 0.5000 0.0000 0.5000
16 Se 0.5000 0.5000 0.5000

***

No. 5
This record from Alexandria describes a relaxed Ce4ErIn3 crystal. The functional is PBE-GGA.

Values from the calculation:
Space group ... Immm
Calculated formation energy ... -55 meV per atom
Density ... 8.05 g/cm³
Total magnetization ... 3.3 Bohr magnetons per cell

Unit cell a=11.6218 b=11.6218 c=11.6218 alpha=164.23 beta=148.75 gamma=35.19
Element x y z (fractional)
1 Ce 0.0902 0.8738 0.2165
2 Ce 0.3427 0.1262 0.2165
3 Ce 0.6573 0.8738 0.7835
4 Ce 0.9098 0.1262 0.7835
5 Er 0.5000 0.0000 0.5000
6 In 0.0000 0.5000 0.5000
7 In 0.2480 0.7480 0.5000
8 In 0.7520 0.2520 0.5000